Entry 1:
A plane-wave DFT calculation with PBE-GGA was carried out for an optimized crystal structure of CeTm5Pb4.

Calculated values
**ΔE_f**: -0.369 eV/atom
**Magnetization**: 0.10 μB/atom
**Energy**: -4.681 eV per atom

a = 17.8325 Å, b = 5.0767 Å, c = 6.4760 Å
α = 90.00°, β = 98.12°, γ = 90.00°
Closest atoms and distances in Å follow each position.
Space group C2/m (No. 12)
One atom of each set of equivalent atoms:
Ce 0.0000 0.0000 0.0000 (multiplicity 2)  2 Tm 3.24, 4 Pb 3.29
Tm 0.0000 0.0000 0.5000 (multiplicity 2)  2 Ce 3.24, 4 Pb 3.30, 6 Tm 3.57-3.61
Tm 0.1145 0.5000 0.3136 (multiplicity 4)  4 Pb 3.03-3.36
Tm 0.1896 0.0000 0.7847 (multiplicity 4)  6 Pb 3.15-3.34
Pb 0.0755 0.5000 0.7809 (multiplicity 4)  7 Tm 3.20-3.42, 2 Ce 3.29
Pb 0.2046 0.0000 0.2758 (multiplicity 4)  6 Tm 3.03-3.34

Entry 2:
A plane-wave DFT calculation with PBE-GGA was carried out for an optimized crystal structure of Mo2RuCl.

Calculated values
**Magnetization**: 0.00 μB/atom
**Energy**: -7.627 eV per atom
**Formation energy (no corrections)**: 0.57 eV/atom

a = 4.5983 Å, b = 4.5983 Å, c = 2.8364 Å
α = 90.00°, β = 90.00°, γ = 90.00°
Closest atoms and distances in Å follow each position.
Space group P4/mmm (No. 123)
One atom of each set of equivalent atoms:
Mo 0.0000 0.5000 0.0000 (multiplicity 2)  4 Cl 2.70, 4 Ru 2.70, 2 Mo 2.84
Ru 0.0000 0.0000 0.5000 (multiplicity 1)  8 Mo 2.70, 2 Ru 2.84
Cl 0.5000 0.5000 0.5000 (multiplicity 1)  8 Mo 2.70, 2 Cl 2.84

Entry 3:
A plane-wave DFT calculation with PBE-GGA was carried out for an optimized crystal structure of Nd3YPu2S6.

Calculated values
**Magnetization**: 0.94 μB/atom
**Energy**: -8.136 eV per atom
**Formation energy (no corrections)**: -1.95 eV/atom

a = 6.9201 Å, b = 11.9874 Å, c = 6.9695 Å
α = 90.00°, β = 109.30°, γ = 90.00°
Closest atoms and distances in Å follow each position.
Space group C2/m (No. 12)
One atom of each set of equivalent atoms:
Nd 0.0000 0.0000 0.0000 (multiplicity 2)  6 S 2.88
Nd 0.0000 0.3330 0.0000 (multiplicity 4)  6 S 2.87-2.88
Y 0.0000 0.5000 0.5000 (multiplicity 2)  6 S 2.78-2.79
Pu 0.0000 0.1666 0.5000 (multiplicity 4)  6 S 2.79-2.80
S 0.2457 0.3337 0.7382 (multiplicity 8)  1 Y 2.78, 2 Pu 2.79, 3 Nd 2.88
S 0.2473 0.0000 0.7397 (multiplicity 4)  1 Y 2.79, 2 Pu 2.80, 3 Nd 2.87-2.88

Entry 4:
A plane-wave DFT calculation with PBE-GGA was carried out for an optimized crystal structure of LiTa2Cr.

Calculated values
**ΔE_f**: 0.453 eV/atom
**Magnetization**: 0.35 μB/atom
**Energy**: -8.358 eV per atom

a = 3.8354 Å, b = 3.8354 Å, c = 8.4477 Å
α = 90.00°, β = 90.00°, γ = 90.00°
Closest atoms and distances in Å follow each position.
Space group I-4m2 (No. 119)
One atom of each set of equivalent atoms:
Li 0.0000 0.0000 0.0000 (multiplicity 2)  8 Ta 2.71-2.85, 4 Cr 2.85
Ta 0.0000 0.0000 0.5000 (multiplicity 2)  4 Li 2.71, 4 Cr 2.85, 4 Ta 2.85
Ta 0.0000 0.5000 0.7500 (multiplicity 2)  4 Cr 2.71, 4 Ta 2.85, 4 Li 2.85
Cr 0.0000 0.5000 0.2500 (multiplicity 2)  8 Ta 2.71-2.85, 4 Li 2.85

Entry 5:
A plane-wave DFT calculation with PBE-GGA was carried out for an optimized crystal structure of Sr8Cd2Au.

Calculated values
**ΔE_f**: -0.223 eV/atom
**Magnetization**: 0.00 μB/atom
**Energy**: -1.911 eV per atom

a = 14.0900 Å, b = 10.3131 Å, c = 7.5360 Å
α = 90.00°, β = 108.52°, γ = 90.00°
Closest atoms and distances in Å follow each position.
Space group C2/m (No. 12)
One atom of each set of equivalent atoms:
Sr 0.0831 0.0000 0.2979 (multiplicity 4)  2 Cd 3.39-3.50
Sr 0.1297 0.5000 0.2368 (multiplicity 4)  1 Au 3.09, 1 Cd 3.38
Sr 0.1477 0.2977 0.7405 (multiplicity 8)  1 Au 3.09, 1 Cd 3.37
Cd 0.1755 0.0000 0.9335 (multiplicity 4)  7 Sr 3.37-3.56
Au 0.0000 0.5000 0.5000 (multiplicity 2)  6 Sr 3.09

Entry 6:
A plane-wave DFT calculation with PBE-GGA was carried out for an optimized crystal structure of ScTlCdHg.

Calculated values
**ΔE_f**: -0.193 eV/atom
**Magnetization**: 0.00 μB/atom
**Energy**: -2.672 eV per atom

a = 4.1440 Å, b = 4.6529 Å, c = 4.7637 Å
α = 90.00°, β = 90.00°, γ = 90.00°
Closest atoms and distances in Å follow each position.
Space group Pmmm (No. 47)
One atom of each set of equivalent atoms:
Sc 0.0000 0.0000 0.0000 (multiplicity 1)  4 Tl 3.12, 4 Hg 3.16, 4 Cd 3.33
Tl 0.5000 0.5000 0.0000 (multiplicity 1)  4 Sc 3.12, 4 Cd 3.16, 4 Hg 3.33
Cd 0.0000 0.5000 0.5000 (multiplicity 1)  4 Hg 3.12, 4 Tl 3.16, 4 Sc 3.33
Hg 0.5000 0.0000 0.5000 (multiplicity 1)  4 Cd 3.12, 4 Sc 3.16, 4 Tl 3.33

Entry 7:
A plane-wave DFT calculation with PBE-GGA was carried out for an optimized crystal structure of BaCaZrTl2.

Calculated values
**ΔE_f**: 0.188 eV/atom
**Magnetization**: 0.00 μB/atom
**Energy**: -3.253 eV per atom

a = 5.7334 Å, b = 5.7334 Å, c = 5.7509 Å
α = 90.00°, β = 90.00°, γ = 90.00°
Closest atoms and distances in Å follow each position.
Space group P4/mmm (No. 123)
One atom of each set of equivalent atoms:
Ba 0.0000 0.0000 0.0000 (multiplicity 1)  4 Ca 4.05, 8 Tl 4.06
Ca 0.5000 0.5000 0.0000 (multiplicity 1)  2 Zr 2.88
Zr 0.5000 0.5000 0.5000 (multiplicity 1)  4 Tl 2.87, 2 Ca 2.88
Tl 0.0000 0.5000 0.5000 (multiplicity 2)  2 Zr 2.87

Entry 8:
A plane-wave DFT calculation with PBE-GGA was carried out for an optimized crystal structure of Sm2GdMg.

Calculated values
**ΔE_f**: 0.017 eV/atom
**Magnetization**: 1.78 μB/atom
**Energy**: -6.261 eV per atom

a = 5.6336 Å, b = 5.6336 Å, c = 3.8732 Å
α = 90.00°, β = 90.00°, γ = 90.00°
Closest atoms and distances in Å follow each position.
Space group P4/mmm (No. 123)
One atom of each set of equivalent atoms:
Sm 0.0000 0.5000 0.0000 (multiplicity 2)  4 Gd 3.42, 4 Mg 3.42
Gd 0.0000 0.0000 0.5000 (multiplicity 1)  8 Sm 3.42
Mg 0.5000 0.5000 0.5000 (multiplicity 1)  8 Sm 3.42

Entry 9:
A plane-wave DFT calculation with PBE-GGA was carried out for an optimized crystal structure of LiTlS2.

Calculated values
**Magnetization**: 0.00 μB/atom
**Energy**: -3.694 eV per atom
**Formation energy (no corrections)**: -0.56 eV/atom

a = 4.4301 Å, b = 6.5970 Å, c = 7.4149 Å
α = 92.13°, β = 107.31°, γ = 109.59°
Closest atoms and distances in Å follow each position.
Space group P1 (No. 1)
One atom of each set of equivalent atoms:
Li 0.0000 0.0000 0.0000 (multiplicity 1)  3 S 2.40-2.51
Li 0.2636 0.8774 0.6498 (multiplicity 1)  3 S 2.40-2.51
Tl 0.4851 0.6209 0.2506 (multiplicity 1)  2 S 2.93-3.00
Tl 0.8773 0.2586 0.3986 (multiplicity 1)  3 S 2.93-3.28
S 0.1927 0.9397 0.3252 (multiplicity 1)  2 Li 2.40
S 0.5811 0.1889 0.9174 (multiplicity 1)  1 S 2.09
S 0.7386 0.6880 0.7329 (multiplicity 1)  1 S 2.09
S 0.9111 0.4382 0.8248 (multiplicity 1)  2 S 2.09

Entry 10:
A plane-wave DFT calculation with PBE-GGA was carried out for an optimized crystal structure of Li3AlGa.

Calculated values
**ΔE_f**: -0.127 eV/atom
**Magnetization**: 0.00 μB/atom
**Energy**: -2.630 eV per atom

a = 4.7661 Å, b = 5.3360 Å, c = 7.0387 Å
α = 90.00°, β = 100.45°, γ = 90.00°
Closest atoms and distances in Å follow each position.
Space group P2_1/m (No. 11)
One atom of each set of equivalent atoms:
Li 0.1764 0.0119 0.1812 (multiplicity 4)  4 Li 2.54-2.82, 3 Ga 2.68-2.80, 2 Al 2.75-2.83
Li 0.2332 0.7500 0.5337 (multiplicity 2)  1 Ga 2.54, 2 Li 2.82
Al 0.2980 0.2500 0.7592 (multiplicity 2)  3 Ga 2.65-2.84, 5 Li 2.75-2.96
Ga 0.3555 0.7500 0.9003 (multiplicity 2)  7 Li 2.54-2.80, 3 Al 2.65-2.84

Entry 11:
A plane-wave DFT calculation with PBE-GGA was carried out for an optimized crystal structure of Be2CuW.

Calculated values
**ΔE_f**: 0.067 eV/atom
**Magnetization**: 0.00 μB/atom
**Energy**: -6.059 eV per atom

a = 2.6838 Å, b = 2.6838 Å, c = 6.1312 Å
α = 90.00°, β = 90.00°, γ = 90.00°
Closest atoms and distances in Å follow each position.
Space group P4mm (No. 99)
One atom of each set of equivalent atoms:
Be 0.0000 0.0000 0.0000 (multiplicity 1)  4 Be 2.21, 1 Cu 2.44
Be 0.5000 0.5000 0.1848 (multiplicity 1)  4 Be 2.21, 4 Cu 2.30
Cu 0.0000 0.0000 0.3980 (multiplicity 1)  5 Be 2.30-2.44
W 0.5000 0.5000 0.7232 (multiplicity 1)  5 Be 2.55-2.83, 4 W 2.68, 4 Cu 2.75

Entry 12:
A plane-wave DFT calculation with PBE-GGA was carried out for an optimized crystal structure of SbH.

Calculated values
**Magnetization**: 0.00 μB/atom
**Energy**: -3.379 eV per atom

a = 11.6853 Å, b = 11.6853 Å, c = 3.0081 Å
α = 90.00°, β = 90.00°, γ = 90.00°
Closest atoms and distances in Å follow each position.
Space group P4/m (No. 83)
One atom of each set of equivalent atoms:
Sb 0.0703 0.3980 0.0000 (multiplicity 4)  1 H 1.75
Sb 0.3225 0.5903 0.5000 (multiplicity 4)  1 H 1.77
H 0.0548 0.6847 0.0000 (multiplicity 4)  1 Sb 1.75
H 0.2648 0.7303 0.5000 (multiplicity 4)  1 Sb 1.77

Entry 13:
A plane-wave DFT calculation with PBE-GGA was carried out for an optimized crystal structure of La4ZnCu.

Calculated values
**ΔE_f**: -0.137 eV/atom
**Magnetization**: 0.00 μB/atom
**Energy**: -4.317 eV per atom

a = 3.7797 Å, b = 3.7797 Å, c = 12.4513 Å
α = 90.00°, β = 90.00°, γ = 90.00°
Closest atoms and distances in Å follow each position.
Space group P4/mmm (No. 123)
One atom of each set of equivalent atoms:
La 0.0000 0.0000 0.1343 (multiplicity 2)  4 Cu 3.15, 1 La 3.34
La 0.5000 0.5000 0.3563 (multiplicity 2)  4 Zn 3.22, 1 La 3.58
Zn 0.0000 0.0000 0.5000 (multiplicity 1)  8 La 3.22
Cu 0.5000 0.5000 0.0000 (multiplicity 1)  8 La 3.15

Entry 14:
A plane-wave DFT calculation with PBE-GGA was carried out for an optimized crystal structure of MnCd2Au2.

Calculated values
**ΔE_f**: 0.021 eV/atom
**Magnetization**: 0.85 μB/atom
**Energy**: -3.489 eV per atom

a = 7.0932 Å, b = 7.0932 Å, c = 4.0061 Å
α = 90.00°, β = 90.00°, γ = 90.00°
Closest atoms and distances in Å follow each position.
Space group P4/mbm (No. 127)
One atom of each set of equivalent atoms:
Mn 0.0000 0.0000 0.0000 (multiplicity 2)  4 Au 2.73
Cd 0.1623 0.3377 0.5000 (multiplicity 4)  6 Au 2.80-2.95
Au 0.1428 0.6428 0.0000 (multiplicity 4)  2 Mn 2.73, 6 Cd 2.80-2.95, 1 Au 2.87

Entry 15:
A plane-wave DFT calculation with PBE-GGA was carried out for an optimized crystal structure of LaTaPt2.

Calculated values
**ΔE_f**: -0.617 eV/atom
**Magnetization**: 0.00 μB/atom
**Energy**: -7.832 eV per atom

a = 3.6287 Å, b = 4.6631 Å, c = 5.1673 Å
α = 90.00°, β = 102.57°, γ = 90.00°
Closest atoms and distances in Å follow each position.
Space group Pm (No. 6)
One atom of each set of equivalent atoms:
La 0.0000 0.0000 0.0000 (multiplicity 1)  6 Pt 2.77-3.07
Ta 0.2773 0.5000 0.5770 (multiplicity 1)  4 Pt 2.66-2.82
Pt 0.5585 0.5000 0.1312 (multiplicity 1)  2 Ta 2.71-2.82, 2 Pt 2.96, 2 La 2.99
Pt 0.5750 0.0000 0.4850 (multiplicity 1)  2 Ta 2.66, 2 La 2.77-2.89, 2 Pt 2.96

Entry 16:
A plane-wave DFT calculation with PBE-GGA was carried out for an optimized crystal structure of SrSiN3.

Calculated values
**Magnetization**: 1.00 μB/atom
**Energy**: -4.000 eV per atom
**Formation energy (no corrections)**: 2.42 eV/atom

a = 4.6830 Å, b = 4.6830 Å, c = 4.6830 Å
α = 90.00°, β = 90.00°, γ = 90.00°
Closest atoms and distances in Å follow each position.
Space group Pm-3m (No. 221)
One atom of each set of equivalent atoms:
Sr 0.0000 0.0000 0.0000 (multiplicity 1)  6 N 2.34
Si 0.5000 0.5000 0.5000 (multiplicity 1)  12 N 3.31
N 0.0000 0.0000 0.5000 (multiplicity 3)  2 Sr 2.34

Entry 17:
A plane-wave DFT calculation with PBE-GGA was carried out for an optimized crystal structure of CaSiN.

Calculated values
**Magnetization**: 0.00 μB/atom
**Energy**: -5.818 eV per atom
**Formation energy (no corrections)**: -0.57 eV/atom

a = 3.3598 Å, b = 2.8736 Å, c = 9.4967 Å
α = 90.00°, β = 90.00°, γ = 90.00°
Closest atoms and distances in Å follow each position.
Space group Amm2 (No. 38)
One atom of each set of equivalent atoms:
Ca 0.0000 0.0000 0.0000 (multiplicity 2)  4 N 2.56
Si 0.5000 0.0000 0.2559 (multiplicity 2)  2 N 1.83
N 0.5000 0.0000 0.6363 (multiplicity 2)  2 Si 1.83

Entry 18:
A plane-wave DFT calculation with PBE-GGA was carried out for an optimized crystal structure of Li2Pu3Ir3.

Calculated values
**ΔE_f**: -0.349 eV/atom
**Magnetization**: 1.87 μB/atom
**Energy**: -9.525 eV per atom

a = 8.1460 Å, b = 8.1460 Å, c = 5.4815 Å
α = 90.00°, β = 90.00°, γ = 120.00°
Closest atoms and distances in Å follow each position.
Space group P6_3/mcm (No. 193)
One atom of each set of equivalent atoms:
Li 0.3333 0.6667 0.0000 (multiplicity 4)  2 Li 2.74, 6 Ir 2.89
Pu 0.0000 0.2752 0.2500 (multiplicity 6)  5 Ir 2.78-2.88
Ir 0.0000 0.3818 0.7500 (multiplicity 6)  5 Pu 2.78-2.88, 4 Li 2.89

Entry 19:
A plane-wave DFT calculation with PBE-GGA was carried out for an optimized crystal structure of CuHgBiW2.

Calculated values
**ΔE_f**: 2.155 eV/atom
**Magnetization**: 0.94 μB/atom
**Energy**: -4.682 eV per atom

a = 5.1478 Å, b = 5.1478 Å, c = 4.7013 Å
α = 90.00°, β = 90.00°, γ = 90.00°
Closest atoms and distances in Å follow each position.
Space group P4/mmm (No. 123)
One atom of each set of equivalent atoms:
Cu 0.0000 0.0000 0.0000 (multiplicity 1)  2 Hg 2.35
Hg 0.0000 0.0000 0.5000 (multiplicity 1)  2 Cu 2.35, 4 W 2.57
Bi 0.5000 0.5000 0.0000 (multiplicity 1)  8 W 3.49, 4 Cu 3.64
W 0.0000 0.5000 0.5000 (multiplicity 2)  2 Hg 2.57

Entry 20:
A plane-wave DFT calculation with PBE-GGA was carried out for an optimized crystal structure of AlAgCl2.

Calculated values
**Magnetization**: 0.00 μB/atom
**Energy**: -3.153 eV per atom
**Formation energy (no corrections)**: -0.58 eV/atom

a = 3.4780 Å, b = 3.4780 Å, c = 24.7319 Å
α = 90.00°, β = 90.00°, γ = 120.00°
Closest atoms and distances in Å follow each position.
Space group R3m (No. 160, hexagonal axes)
One atom of each set of equivalent atoms:
Al 0.0000 0.0000 0.0000 (multiplicity 3)  3 Cl 2.55, 3 Ag 2.62
Ag 0.0000 0.0000 0.7350 (multiplicity 3)  3 Cl 2.62, 3 Al 2.62
Cl 0.0000 0.0000 0.2699 (multiplicity 3)  3 Al 2.55
Cl 0.0000 0.0000 0.4696 (multiplicity 3)  3 Ag 2.62